Record 1
First-principles (PBE-GGA) data for Ho5HgRh after structural relaxation, as listed in Alexandria via LeMat-Bulk.

Properties
* size of the total moment: 0.000 μB per cell
* space group: C2/c
* calculated total energy: -4.661 eV/atom
* formation enthalpy at 0 K: -2.1 eV/f.u.

Geometry as POSCAR:
```
Ho5HgRh
1.0
4.6033 -3.6376 0.0000
4.6033 3.6376 0.0000
-3.1495 0.0000 11.4232
Ho Hg Rh
10 2 2
Direct
0.0078 0.9922 0.7500
0.0823 0.4198 0.1254
0.2115 0.5415 0.4321
0.4198 0.0823 0.6254
0.4585 0.7885 0.0679
0.5415 0.2115 0.9321
0.5802 0.9177 0.3746
0.7885 0.4585 0.5679
0.9177 0.5802 0.8746
0.9922 0.0078 0.2500
0.4170 0.5830 0.7500
0.5830 0.4170 0.2500
0.0000 0.0000 0.0000
0.0000 0.0000 0.5000
```


Record 2
First-principles (PBE-GGA) data for HgAu4Br after structural relaxation, as listed in Alexandria via LeMat-Bulk.

Properties
* ΔE_f (raw): 3.41 kcal/mol of atoms
* size of the total moment: 0.000 μB per cell
* space group: F-43m
* calculated total energy: -2.366 eV/atom

Geometry as POSCAR:
```
HgAu4Br
1.0
0.0000 4.0005 4.0005
4.0005 0.0000 4.0005
4.0005 4.0005 0.0000
Hg Au Br
1 4 1
Direct
0.0000 0.0000 0.0000
0.1245 0.6252 0.6252
0.6252 0.1245 0.6252
0.6252 0.6252 0.1245
0.6252 0.6252 0.6252
0.2500 0.2500 0.2500
```


Record 3
First-principles (PBE-GGA) data for Sm3DyGa2 after structural relaxation, as listed in Alexandria via LeMat-Bulk.

Properties
* size of the total moment: 0.000 μB per cell
* space group: C2/m
* calculated total energy: -4.473 eV/atom
* formation enthalpy at 0 K: -2.0 eV/f.u.

Geometry as POSCAR:
```
Sm3DyGa2
1.0
8.6933 -2.2726 0.0000
8.6933 2.2726 0.0000
-3.7337 0.0000 8.4254
Sm Dy Ga
6 2 4
Direct
0.0436 0.0436 0.1897
0.3202 0.3202 0.5714
0.3494 0.3494 0.0221
0.6506 0.6506 0.9779
0.6798 0.6798 0.4286
0.9564 0.9564 0.8103
0.1177 0.1177 0.6410
0.8823 0.8823 0.3590
0.2323 0.2323 0.2141
0.4955 0.4955 0.3576
0.5045 0.5045 0.6424
0.7677 0.7677 0.7859
```


Record 4
First-principles (PBE-GGA) data for SrCd2Tc after structural relaxation, as listed in Alexandria via LeMat-Bulk.

Properties
* size of the total moment: 3.338 μB per cell
* space group: I-42d
* calculated total energy: -2.812 eV/atom
* formation enthalpy at 0 K: 2.6 eV/f.u.

Geometry as POSCAR:
```
SrCd2Tc
1.0
-2.4434 2.4434 9.7724
2.4434 -2.4434 9.7724
2.4434 2.4434 -9.7724
Sr Cd Tc
2 4 2
Direct
0.0000 0.0000 0.0000
0.7500 0.2500 0.5000
0.2401 0.6250 0.1151
0.3750 0.4901 0.6151
0.5099 0.1250 0.8849
0.8750 0.7599 0.3849
0.2500 0.7500 0.5000
0.5000 0.5000 0.0000
```


Record 5
First-principles (PBE-GGA) data for SrLiSb2 after structural relaxation, as listed in Alexandria via LeMat-Bulk.

Properties
* ΔE_f (raw): -13.51 kcal/mol of atoms
* size of the total moment: 0.000 μB per cell
* space group: I4/mmm
* calculated total energy: -3.546 eV/atom

Geometry as POSCAR:
```
SrLiSb2
1.0
-2.4631 2.4631 4.6121
2.4631 -2.4631 4.6121
2.4631 2.4631 -4.6121
Sr Li Sb
1 1 2
Direct
0.0000 0.0000 0.0000
0.5000 0.5000 0.0000
0.2500 0.7500 0.5000
0.7500 0.2500 0.5000
```


Record 6
First-principles (PBE-GGA) data for Li2Ac2GeO6 after structural relaxation, as listed in Alexandria via LeMat-Bulk.

Properties
* ΔE_f (raw): -56.23 kcal/mol of atoms
* size of the total moment: 0.000 μB per cell
* space group: R-3m
* calculated total energy: -6.658 eV/atom

Geometry as POSCAR:
```
Li2Ac2GeO6
1.0
2.8337 1.6361 4.8558
-2.8337 1.6361 4.8558
0.0000 -3.2721 4.8558
Li Ac Ge O
2 2 1 6
Direct
0.0695 0.0695 0.0695
0.9305 0.9305 0.9305
0.2683 0.2683 0.2683
0.7317 0.7317 0.7317
0.5000 0.5000 0.5000
0.2649 0.2649 0.7288
0.2649 0.7288 0.2649
0.2712 0.7351 0.7351
0.7288 0.2649 0.2649
0.7351 0.2712 0.7351
0.7351 0.7351 0.2712
```